Here is a relaxed ScTlCuI5 crystal from the Alexandria database. Energies are from GGA-PBE.

Summary:
* size of the total moment: 0.00 μB per formula unit
* calculated volume: 39.264 Å³/atom
* ρ: 5.0 g/cm³
* E_form (uncorrected): -0.781 eV per atom
* electronic total energy: -3.3494 eV/atom

Geometry as CIF:
```
data_ScTlCuI5
_chemical_formula_sum 'Sc4 Tl4 Cu4 I20'
_symmetry_space_group_name_H-M 'C 1 2/c 1'
_symmetry_Int_Tables_number 15
_symmetry_space_group_name_Hall '-C 2yc'
_cell_length_a 9.752
_cell_length_b 12.877
_cell_length_c 10.900
_cell_angle_alpha 90.00
_cell_angle_beta 113.37
_cell_angle_gamma 90.00
loop_
_atom_site_label
_atom_site_type_symbol
_atom_site_fract_x
_atom_site_fract_y
_atom_site_fract_z
Sc1 Sc 0.000 0.000 0.000
Tl1 Tl 0.000 0.360 0.250
Cu1 Cu 0.000 0.307 0.750
I1 I 0.000 0.080 0.250
I2 I 0.116 0.201 0.613
I3 I 0.195 0.428 0.936
```


Here is a relaxed Sc2ZnCuI crystal from the Alexandria database. Energies are from GGA-PBE.

Summary:
* size of the total moment: 0.00 μB per formula unit
* calculated volume: 26.808 Å³/atom
* ρ: 4.3 g/cm³
* E_form (uncorrected): 0.401 eV per atom
* electronic total energy: -3.5158 eV/atom

Geometry as CIF:
```
data_Sc2ZnCuI
_chemical_formula_sum 'Sc2 Zn1 Cu1 I1'
_symmetry_space_group_name_H-M 'P 4/m m m'
_symmetry_Int_Tables_number 123
_symmetry_space_group_name_Hall '-P 4 2'
_cell_length_a 4.983
_cell_length_b 4.983
_cell_length_c 5.399
_cell_angle_alpha 90.00
_cell_angle_beta 90.00
_cell_angle_gamma 90.00
loop_
_atom_site_label
_atom_site_type_symbol
_atom_site_fract_x
_atom_site_fract_y
_atom_site_fract_z
Sc1 Sc 0.000 0.500 0.000
Zn1 Zn 0.000 0.000 0.500
Cu1 Cu 0.500 0.500 0.000
I1 I 0.500 0.500 0.500
```


Here is a relaxed ZrScCuI2 crystal from the Alexandria database. Energies are from GGA-PBE.

Summary:
* size of the total moment: 2.96 μB per formula unit
* calculated volume: 30.132 Å³/atom
* ρ: 5.0 g/cm³
* E_form (uncorrected): 0.533 eV per atom
* electronic total energy: -3.8817 eV/atom

Geometry as CIF:
```
data_ZrScCuI2
_chemical_formula_sum 'Zr1 Sc1 Cu1 I2'
_symmetry_space_group_name_H-M 'P 4/m m m'
_symmetry_Int_Tables_number 123
_symmetry_space_group_name_Hall '-P 4 2'
_cell_length_a 5.548
_cell_length_b 5.548
_cell_length_c 4.895
_cell_angle_alpha 90.00
_cell_angle_beta 90.00
_cell_angle_gamma 90.00
loop_
_atom_site_label
_atom_site_type_symbol
_atom_site_fract_x
_atom_site_fract_y
_atom_site_fract_z
Zr1 Zr 0.000 0.000 0.000
Sc1 Sc 0.500 0.500 0.500
Cu1 Cu 0.500 0.500 0.000
I1 I 0.000 0.500 0.500
```


Here is a relaxed CuSeI crystal from the Alexandria database. Energies are from GGA-PBE.

Summary:
* size of the total moment: 0.00 μB per formula unit
* calculated volume: 31.589 Å³/atom
* ρ: 4.7 g/cm³
* E_form (uncorrected): -0.092 eV per atom
* electronic total energy: -3.1354 eV/atom

Geometry as CIF:
```
data_CuSeI
_chemical_formula_sum 'Cu4 Se4 I4'
_symmetry_space_group_name_H-M 'P n m a'
_symmetry_Int_Tables_number 62
_symmetry_space_group_name_Hall '-P 2ac 2n'
_cell_length_a 7.004
_cell_length_b 4.160
_cell_length_c 13.010
_cell_angle_alpha 90.00
_cell_angle_beta 90.00
_cell_angle_gamma 90.00
loop_
_atom_site_label
_atom_site_type_symbol
_atom_site_fract_x
_atom_site_fract_y
_atom_site_fract_z
Cu1 Cu 0.123 0.250 0.042
Se1 Se 0.034 0.750 0.547
I1 I 0.011 0.750 0.150
```


Q: Which value of size of the total moment does entry 1 give?
A: 0.00 μB per formula unit


Q: size of the total moment of number 3 (ZrScCuI2)?
A: 2.96 μB per formula unit